# TaGaReTc (PBE, optimized geometry)
data_TaGaReTc
_chemical_formula_sum 'Ta4 Ga4 Re4 Tc4'
_cell_length_a 6.283
_cell_length_b 6.283
_cell_length_c 6.283
_cell_angle_alpha 90.00
_cell_angle_beta 90.00
_cell_angle_gamma 90.00
_symmetry_space_group_name_H-M 'F -4 3 m'
_symmetry_Int_Tables_number 216
_symmetry_space_group_name_Hall 'F -4 2 3'
loop_
_atom_site_label
_atom_site_fract_x
_atom_site_fract_y
_atom_site_fract_z
Ta1 0.000 0.000 0.000
Ga1 0.000 0.000 0.500
Re1 0.250 0.250 0.750
Tc1 0.250 0.250 0.250
# - total moment (μB/f.u.) = 0.0
# - calculated formation energy (eV per atom) = -0.159

=====

# TaGa2ReTe (PBE, optimized geometry)
data_TaGa2ReTe
_chemical_formula_sum 'Ta1 Ga2 Re1 Te1'
_cell_length_a 5.065
_cell_length_b 5.065
_cell_length_c 5.129
_cell_angle_alpha 90.00
_cell_angle_beta 90.00
_cell_angle_gamma 90.00
_symmetry_space_group_name_H-M 'P 4/m m m'
_symmetry_Int_Tables_number 123
_symmetry_space_group_name_Hall '-P 4 2'
loop_
_atom_site_label
_atom_site_fract_x
_atom_site_fract_y
_atom_site_fract_z
Ta1 0.000 0.000 0.000
Ga1 0.000 0.500 0.500
Re1 0.500 0.500 0.000
Te1 0.000 0.000 0.500
# - total moment (μB/f.u.) = 2.7
# - formation energy without anion corrections (meV per atom) = 2100

=====

# TaTlGa2Re (PBE, optimized geometry)
data_TaTlGa2Re
_chemical_formula_sum 'Ta1 Tl1 Ga2 Re1'
_cell_length_a 4.869
_cell_length_b 4.869
_cell_length_c 5.423
_cell_angle_alpha 90.00
_cell_angle_beta 90.00
_cell_angle_gamma 90.00
_symmetry_space_group_name_H-M 'P 4/m m m'
_symmetry_Int_Tables_number 123
_symmetry_space_group_name_Hall '-P 4 2'
loop_
_atom_site_label
_atom_site_fract_x
_atom_site_fract_y
_atom_site_fract_z
Ta1 0.000 0.000 0.000
Tl1 0.000 0.000 0.500
Ga1 0.000 0.500 0.500
Re1 0.500 0.500 0.000
# - total moment (μB/f.u.) = 1.8
# - calculated formation energy (eV per atom) = 2.245

=====

# Tb2GaRe (PBE, optimized geometry)
data_Tb2GaRe
_chemical_formula_sum 'Tb6 Ga3 Re3'
_cell_length_a 3.1112
_cell_length_b 3.1112
_cell_length_c 31.6639
_cell_angle_alpha 90.00
_cell_angle_beta 90.00
_cell_angle_gamma 120.00
_symmetry_space_group_name_H-M 'R -3 m'
_symmetry_Int_Tables_number 166
_symmetry_space_group_name_Hall '-R 3 2"'
loop_
_atom_site_label
_atom_site_fract_x
_atom_site_fract_y
_atom_site_fract_z
Tb1 0.0000 0.0000 0.0878
Ga1 0.0000 0.0000 0.5000
Re1 0.0000 0.0000 0.0000
# - total moment (μB/f.u.) = 0.0
# - calculated formation energy (eV per atom) = 0.562

=====

E across the listed records, respectively: -0.352 -0.169 -0.158 -0.207 Ha/atom.
Volume across the listed records, respectively: 62.0 131.6 128.6 88.5 Å³/f.u..
N(E_F) across the listed records, respectively: 1.020 0.960 1.094 1.012 states/eV per atom.